PBE with a Hubbard U Cs2CdNiF6, relaxed; theoretical density = 5.425 g cm⁻³; density of states at the Fermi level = 0.00 states/eV/cell; E = -4.076 eV per atom; space-group type = No. 225
1.0
6.202 0.000 0.000
0.000 6.202 0.000
0.000 0.000 8.769
Cs Cd Ni F
4 2 2 12
Cartesian
3.101 4.651 2.192 Cs
0.000 1.551 6.577 Cs
3.101 4.651 6.577 Cs
0.000 1.551 2.192 Cs
0.000 4.651 4.384 Cd
3.101 1.551 0.000 Cd
3.101 1.550 4.384 Ni
0.000 4.652 0.000 Ni
3.101 1.550 2.303 F
3.101 1.550 6.466 F
0.000 4.652 2.082 F
0.000 4.652 6.687 F
1.630 0.079 4.384 F
4.572 0.079 4.384 F
1.630 3.021 4.384 F
4.572 3.021 4.384 F
4.731 3.181 0.000 F
1.471 3.181 0.000 F
1.471 6.123 0.000 F
4.731 6.123 0.000 F